TbHoPu2: relaxed, PBE.

Its crystal system is tetragonal. The value obtained for the energy relative to the elements is 177 meV per atom. The calculation puts the total magnetic moment at 12.751 Bohr magnetons per cell.

The structure belongs to space group P4/mmm (No. 123); the cell edges are 4.814, 4.814 and 5.031 Å and the angles 90.00°, 90.00° and 90.00°. Symmetry generates all atoms from Tb at (0.000, 0.000, 0.000), Ho at (0.500, 0.500, 0.000) and Pu at (0.000, 0.500, 0.500).


Tb2Ho3Pu: relaxed, PBE.

Its crystal system is orthorhombic. The value obtained for the energy relative to the elements is 592 meV per atom. The calculation puts the total magnetic moment at 23.483 Bohr magnetons per cell.

The structure belongs to space group Ibam (No. 72); the cell edges are 11.364, 11.939 and 6.242 Å and the angles 90.00°, 90.00° and 90.00°. Symmetry generates all atoms from Tb at (0.247, 0.101, 0.000), Ho at (0.000, 0.000, 0.250), Ho at (0.000, 0.267, 0.250) and Pu at (0.000, 0.500, 0.000).


Tb6Ho3Pu: relaxed, PBE.

Its crystal system is triclinic. The value obtained for the energy relative to the elements is 42 meV per atom. The calculation puts the total magnetic moment at 6.732 Bohr magnetons per cell.

The structure belongs to space group P1 (No. 1); the cell edges are 6.226, 6.690 and 8.384 Å and the angles 76.90°, 68.22° and 89.98°. Symmetry generates all atoms from Tb at (0.000, 0.000, 0.000), Tb at (0.025, 0.902, 0.602), Tb at (0.199, 0.397, 0.605), Tb at (0.236, 0.301, 0.197), Tb at (0.432, 0.699, 0.802), Tb at (0.796, 0.591, 0.404), Ho at (0.400, 0.805, 0.199), Ho at (0.631, 0.095, 0.406), Ho at (0.825, 0.495, 0.002) and Pu at (0.598, 0.200, 0.801).


Tb3HoPu3Te8: relaxed, PBE.

As for the uncorrected formation energy: -1.27 eV per atom. Its crystal system is monoclinic. The calculation puts the total magnetic moment at 11.844 Bohr magnetons per cell.

The structure belongs to space group C2/m (No. 12); the cell edges are 15.229, 8.769 and 8.796 Å and the angles 90.00°, 125.27° and 90.00°. Symmetry generates all atoms from Tb at (0.000, 0.000, 0.000), Tb at (0.250, 0.250, 0.000), Ho at (0.000, 0.500, 0.000), Pu at (0.000, 0.500, 0.500), Pu at (0.250, 0.250, 0.500), Te at (0.002, 0.247, 0.752), Te at (0.249, 0.000, 0.247) and Te at (0.249, 0.000, 0.751).